First-principles (PBE) data for an optimized crystal structure of TcSnN3, as listed in the Alexandria database.

## Properties
volume = 61 Å³ per cell
VASP energy = -35.7 eV/cell
total magnetization = 0.00 μB/cell
DOS(E_F) = 0.56 states/eV/atom

a = 3.945 Å, b = 3.945 Å, c = 3.945 Å
α = 90.00°, β = 90.00°, γ = 90.00°
Fractional positions:
N: 0.000 0.500 0.000
N: 0.000 0.000 0.500
N: 0.500 0.000 0.000
Sn: 0.500 0.500 0.500
Tc: 0.000 0.000 0.000



First-principles (PBE) data for an optimized crystal structure of AcCe2TmP4, as listed in the Alexandria database.

## Properties
volume = 202 Å³ per cell
VASP energy = -53.8 eV/cell
total magnetization = 1.09 μB/cell
DOS(E_F) = 1.20 states/eV/atom

a = 4.150 Å, b = 7.177 Å, c = 7.203 Å
α = 70.59°, β = 90.00°, γ = 90.00°
Last column: magnetic moment on the atom in μB.
Fractional positions:
P: 0.500 0.752 0.263  -0.02
P: 0.000 0.237 0.269  -0.01
P: 0.000 0.763 0.731  -0.01
P: 0.500 0.248 0.737  -0.02
Ce: 0.500 0.000 0.500  0.36
Ce: 0.000 0.000 0.000  0.64
Tm: 0.000 0.500 0.500  0.00
Ac: 0.500 0.500 0.000  0.01



First-principles (PBE) data for an optimized crystal structure of Ac2Sm3NbN6, as listed in the Alexandria database.

## Properties
volume = 199 Å³ per cell
VASP energy = -96.4 eV/cell
total magnetization = 0.00 μB/cell
DOS(E_F) = 0.18 states/eV/atom

a = 6.330 Å, b = 6.330 Å, c = 6.129 Å
α = 99.65°, β = 99.65°, γ = 120.52°
Fractional positions:
N: 0.079 0.363 0.233
N: 0.921 0.637 0.767
N: 0.216 0.216 0.753
N: 0.637 0.921 0.767
N: 0.363 0.079 0.233
N: 0.784 0.784 0.247
Ac: 0.332 0.668 0.000
Ac: 0.668 0.332 0.000
Sm: 0.844 0.156 0.500
Sm: 0.500 0.500 0.500
Sm: 0.156 0.844 0.500
Nb: 0.000 0.000 0.000



First-principles (PBE) data for an optimized crystal structure of CsNpBeO4, as listed in the Alexandria database.

## Properties
volume = 227 Å³ per cell
VASP energy = -109.8 eV/cell
total magnetization = 4.00 μB/cell
DOS(E_F) = 0.67 states/eV/atom

a = 5.300 Å, b = 5.555 Å, c = 9.004 Å
α = 90.00°, β = 121.26°, γ = 90.00°
Last column: magnetic moment on the atom in μB.
Fractional positions:
Be: 0.831 0.250 0.649  0.00
Be: 0.169 0.750 0.351  0.00
O: 0.465 0.750 0.554  -0.07
O: 0.961 0.979 0.339  -0.07
O: 0.665 0.250 0.759  -0.07
O: 0.961 0.521 0.339  -0.07
O: 0.335 0.750 0.241  -0.07
O: 0.535 0.250 0.446  -0.07
O: 0.039 0.479 0.661  -0.07
O: 0.039 0.021 0.661  -0.07
Cs: 0.660 0.750 0.919  0.00
Cs: 0.340 0.250 0.081  0.00
Np: 0.246 0.250 0.534  2.26
Np: 0.754 0.750 0.466  2.26



First-principles (PBE) data for an optimized crystal structure of Sm12In3Ga, as listed in the Alexandria database.

## Properties
volume = 472 Å³ per cell
VASP energy = -72.1 eV/cell
total magnetization = 0.01 μB/cell
DOS(E_F) = 1.65 states/eV/atom

a = 4.902 Å, b = 4.902 Å, c = 19.621 Å
α = 90.00°, β = 90.00°, γ = 90.00°
Fractional positions:
In: 0.000 0.000 0.247
In: 0.000 0.000 0.753
In: 0.000 0.000 0.500
Sm: 0.500 0.500 0.500
Sm: 0.500 0.000 0.880
Sm: 0.000 0.500 0.374
Sm: 0.500 0.000 0.626
Sm: 0.500 0.000 0.120
Sm: 0.500 0.500 0.000
Sm: 0.000 0.500 0.880
Sm: 0.000 0.500 0.626
Sm: 0.000 0.500 0.120
Sm: 0.500 0.500 0.753
Sm: 0.500 0.000 0.374
Sm: 0.500 0.500 0.247
Ga: 0.000 0.000 0.000



First-principles (PBE) data for an optimized crystal structure of YAg2Br, as listed in the Alexandria database.

## Properties
ΔE to the lowest computed polymorph = 259 meV per atom
volume = 105 Å³ per cell
total magnetization = 0.00 μB/cell
DOS(E_F) = 0.03 states/eV/atom

a = 8.411 Å, b = 8.411 Å, c = 8.411 Å
α = 26.56°, β = 26.56°, γ = 26.56°
Fractional positions:
Ag: 0.999 0.999 0.999
Ag: 0.501 0.501 0.501
Y: 0.750 0.750 0.750
Br: 0.250 0.250 0.250



First-principles (PBE) data for an optimized crystal structure of LiAg7Sn2Sb2, as listed in the Alexandria database.

## Properties
volume = 256 Å³ per cell
VASP energy = -37.7 eV/cell
total magnetization = 0.00 μB/cell
DOS(E_F) = 0.34 states/eV/atom

a = 3.975 Å, b = 3.975 Å, c = 16.424 Å
α = 82.94°, β = 82.94°, γ = 90.02°
Fractional positions:
Ag: 0.730 0.730 0.540
Ag: 0.270 0.270 0.460
Ag: 0.433 0.933 0.132
Ag: 0.067 0.567 0.868
Ag: 0.933 0.433 0.132
Ag: 0.567 0.067 0.868
Ag: 0.500 0.500 0.000
Sb: 0.182 0.182 0.634
Sb: 0.818 0.818 0.366
Sn: 0.637 0.637 0.725
Sn: 0.363 0.363 0.275
Li: 0.000 0.000 0.000



First-principles (PBE) data for an optimized crystal structure of Pm2PrErTl4, as listed in the Alexandria database.

## Properties
volume = 232 Å³ per cell
VASP energy = -31.2 eV/cell
total magnetization = 0.00 μB/cell
DOS(E_F) = 0.83 states/eV/atom

a = 5.464 Å, b = 5.464 Å, c = 9.499 Å
α = 73.28°, β = 73.28°, γ = 60.00°
Fractional positions:
Pm: 0.751 0.751 0.747
Pm: 0.249 0.249 0.253
Er: 0.500 0.500 0.500
Pr: 0.000 0.000 0.000
Tl: 0.377 0.377 0.869
Tl: 0.127 0.127 0.620
Tl: 0.873 0.873 0.380
Tl: 0.623 0.623 0.131



Q: Number 1 is which compound?
A: TcSnN3



Q: What is the formula in the fourth record?
A: CsNpBeO4



Q: Which formula does entry 1 have?
A: TcSnN3



Q: DOS(E_F) of number 4 (CsNpBeO4)?
A: 0.67 states/eV/atom